[1]
# Sr2CdBiS5

A relaxed Sr2CdBiS5 crystal (GGA-PBE, Alexandria).

Results
- total energy (eV for the cell shown) = -77.3
- energy relative to the elements, uncorrected (meV per atom) = -1092
- total magnetic moment (μB/f.u.) = 0.00

```
data_Sr2CdBiS5
_cell_length_a 9.174
_cell_length_b 9.174
_cell_length_c 12.604
_cell_angle_alpha 90.00
_cell_angle_beta 90.00
_cell_angle_gamma 154.01
_symmetry_space_group_name_H-M 'P 1'
_symmetry_Int_Tables_number 1
_symmetry_space_group_name_Hall 'P 1'
loop_
_atom_site_label
_atom_site_type_symbol
_atom_site_fract_x
_atom_site_fract_y
_atom_site_fract_z
Sr1 Sr 0.089 0.911 0.500
Sr2 Sr 0.123 0.877 0.143
Sr3 Sr 0.877 0.123 0.643
Sr4 Sr 0.911 0.089 0.000
Cd1 Cd 0.441 0.559 0.287
Cd2 Cd 0.559 0.441 0.787
Bi1 Bi 0.230 0.770 0.866
Bi2 Bi 0.770 0.230 0.366
S1 S 0.072 0.928 0.902
S2 S 0.260 0.740 0.521
S3 S 0.288 0.712 0.219
S4 S 0.377 0.623 0.831
S5 S 0.500 0.500 0.110
S6 S 0.500 0.500 0.610
S7 S 0.623 0.377 0.331
S8 S 0.712 0.288 0.719
S9 S 0.740 0.260 0.021
S10 S 0.928 0.072 0.402
```

***

[2]
# Cd2BiTeS

A relaxed Cd2BiTeS crystal (GGA-PBE, Alexandria).

Results
- total energy (eV for the cell shown) = -12.2
- energy relative to the elements, uncorrected (meV per atom) = 155
- total magnetic moment (μB/f.u.) = 0.00

```
data_Cd2BiTeS
_cell_length_a 5.165
_cell_length_b 5.165
_cell_length_c 5.601
_cell_angle_alpha 90.00
_cell_angle_beta 90.00
_cell_angle_gamma 90.00
_symmetry_space_group_name_H-M 'P 1'
_symmetry_Int_Tables_number 1
_symmetry_space_group_name_Hall 'P 1'
loop_
_atom_site_label
_atom_site_type_symbol
_atom_site_fract_x
_atom_site_fract_y
_atom_site_fract_z
Cd1 Cd 0.000 0.500 0.000
Cd2 Cd 0.500 0.000 0.000
Bi1 Bi 0.000 0.000 0.500
Te1 Te 0.500 0.500 0.500
S1 S 0.000 0.000 0.000
```

***

[3]
# TlCdBiS2

A relaxed TlCdBiS2 crystal (GGA-PBE, Alexandria).

Results
- total energy (eV for the cell shown) = -12.4
- energy relative to the elements, uncorrected (meV per atom) = 609
- total magnetic moment (μB/f.u.) = 0.00

```
data_TlCdBiS2
_cell_length_a 5.144
_cell_length_b 5.144
_cell_length_c 5.545
_cell_angle_alpha 90.00
_cell_angle_beta 90.00
_cell_angle_gamma 90.00
_symmetry_space_group_name_H-M 'P 1'
_symmetry_Int_Tables_number 1
_symmetry_space_group_name_Hall 'P 1'
loop_
_atom_site_label
_atom_site_type_symbol
_atom_site_fract_x
_atom_site_fract_y
_atom_site_fract_z
Tl1 Tl 0.000 0.000 0.000
Cd1 Cd 0.000 0.000 0.500
Bi1 Bi 0.500 0.500 0.500
S1 S 0.000 0.500 0.000
S2 S 0.500 0.000 0.000
```

***

[4]
# Tl3CdBi2S6

A relaxed Tl3CdBi2S6 crystal (GGA-PBE, Alexandria).

Results
- total energy (eV for the cell shown) = -45.1
- energy relative to the elements, uncorrected (meV per atom) = -376
- total magnetic moment (μB/f.u.) = 0.00

```
data_Tl3CdBi2S6
_cell_length_a 7.107
_cell_length_b 7.107
_cell_length_c 7.528
_cell_angle_alpha 98.96
_cell_angle_beta 98.96
_cell_angle_gamma 120.12
_symmetry_space_group_name_H-M 'P 1'
_symmetry_Int_Tables_number 1
_symmetry_space_group_name_Hall 'P 1'
loop_
_atom_site_label
_atom_site_type_symbol
_atom_site_fract_x
_atom_site_fract_y
_atom_site_fract_z
Tl1 Tl 0.000 0.000 0.000
Tl2 Tl 0.335 0.665 0.000
Tl3 Tl 0.665 0.335 0.000
Cd1 Cd 0.500 0.500 0.500
Bi1 Bi 0.167 0.833 0.500
Bi2 Bi 0.833 0.167 0.500
S1 S 0.100 0.429 0.284
S2 S 0.244 0.244 0.712
S3 S 0.429 0.100 0.284
S4 S 0.571 0.900 0.716
S5 S 0.756 0.756 0.288
S6 S 0.900 0.571 0.716
```

***

[5]
# ZnCd2BiS

A relaxed ZnCd2BiS crystal (GGA-PBE, Alexandria).

Results
- total energy (eV for the cell shown) = -9.3
- energy relative to the elements, uncorrected (meV per atom) = 362
- total magnetic moment (μB/f.u.) = 0.00

```
data_ZnCd2BiS
_cell_length_a 4.975
_cell_length_b 4.975
_cell_length_c 5.457
_cell_angle_alpha 90.00
_cell_angle_beta 90.00
_cell_angle_gamma 90.00
_symmetry_space_group_name_H-M 'P 1'
_symmetry_Int_Tables_number 1
_symmetry_space_group_name_Hall 'P 1'
loop_
_atom_site_label
_atom_site_type_symbol
_atom_site_fract_x
_atom_site_fract_y
_atom_site_fract_z
Zn1 Zn 0.000 0.000 0.000
Cd1 Cd 0.000 0.500 0.000
Cd2 Cd 0.500 0.000 0.000
Bi1 Bi 0.000 0.000 0.500
S1 S 0.500 0.500 0.500
```

***

[6]
# ZrCd2BiS

A relaxed ZrCd2BiS crystal (GGA-PBE, Alexandria).

Results
- total energy (eV for the cell shown) = -17.2
- energy relative to the elements, uncorrected (meV per atom) = 233
- total magnetic moment (μB/f.u.) = 0.00

```
data_ZrCd2BiS
_cell_length_a 5.756
_cell_length_b 5.756
_cell_length_c 4.748
_cell_angle_alpha 90.00
_cell_angle_beta 90.00
_cell_angle_gamma 90.00
_symmetry_space_group_name_H-M 'P 1'
_symmetry_Int_Tables_number 1
_symmetry_space_group_name_Hall 'P 1'
loop_
_atom_site_label
_atom_site_type_symbol
_atom_site_fract_x
_atom_site_fract_y
_atom_site_fract_z
Zr1 Zr 0.000 0.000 0.000
Cd1 Cd 0.000 0.500 0.000
Cd2 Cd 0.500 0.000 0.000
Bi1 Bi 0.500 0.500 0.500
S1 S 0.000 0.000 0.500
```

***

> The highest energy relative to the elements, uncorrected belongs to which entry?

TlCdBiS2

***

> What is the formula in the fourth record?

Tl3CdBi2S6